(1)
# ErPuHf2 GGA-PBE optimized geometry
data_ErPuHf2
_chemical_formula_sum 'Er1 Pu1 Hf2'
_cell_length_a 3.7594
_cell_length_b 3.7594
_cell_length_c 6.9815
_cell_angle_alpha 90.00
_cell_angle_beta 90.00
_cell_angle_gamma 90.00
_space_group_name_H-M_alt 'P 4/m m m'
_space_group_IT_number 123
_space_group_name_Hall '-P 4 2'
loop_
_atom_site_label
_atom_site_fract_x
_atom_site_fract_y
_atom_site_fract_z
_atom_site_occupancy
Er1 0.0000 0.0000 0.0000 1
Pu1 0.0000 0.0000 0.5000 1
Hf1 0.5000 0.5000 0.2826 1
# Formation energy   0.219 eV per atom
# DOS at the Fermi energy   7.54 states/eV/f.u.
# Size of the total moment   5.3 μB/f.u.
# Energy above the most stable polymorph in this dataset   0.049 eV per atom

(2)
# Er2PuHf GGA-PBE optimized geometry
data_Er2PuHf
_chemical_formula_sum 'Er6 Pu3 Hf3'
_cell_length_a 3.3839
_cell_length_b 3.3839
_cell_length_c 32.9911
_cell_angle_alpha 90.00
_cell_angle_beta 90.00
_cell_angle_gamma 120.00
_space_group_name_H-M_alt 'R 3 m'
_space_group_IT_number 160
_space_group_name_Hall 'R 3 -2"'
loop_
_atom_site_label
_atom_site_fract_x
_atom_site_fract_y
_atom_site_fract_z
_atom_site_occupancy
Er1 0.0000 0.0000 0.0000 1
Er2 0.0000 0.0000 0.1581 1
Pu1 0.0000 0.0000 0.5791 1
Hf1 0.0000 0.0000 0.7453 1
# Formation energy   0.146 eV per atom
# DOS at the Fermi energy   10.99 states/eV/f.u.
# Size of the total moment   6.1 μB/f.u.
# Energy above the most stable polymorph in this dataset   0.000 eV per atom

(3)
# ErPuHf2 GGA-PBE optimized geometry
data_ErPuHf2
_chemical_formula_sum 'Er1 Pu1 Hf2'
_cell_length_a 4.5907
_cell_length_b 4.5907
_cell_length_c 4.6568
_cell_angle_alpha 90.00
_cell_angle_beta 90.00
_cell_angle_gamma 90.00
_space_group_name_H-M_alt 'P 4/m m m'
_space_group_IT_number 123
_space_group_name_Hall '-P 4 2'
loop_
_atom_site_label
_atom_site_fract_x
_atom_site_fract_y
_atom_site_fract_z
_atom_site_occupancy
Er1 0.0000 0.0000 0.0000 1
Pu1 0.5000 0.5000 0.0000 1
Hf1 0.0000 0.5000 0.5000 1
# Formation energy   0.170 eV per atom
# DOS at the Fermi energy   10.88 states/eV/f.u.
# Size of the total moment   5.7 μB/f.u.
# Energy above the most stable polymorph in this dataset   0.000 eV per atom

(4)
# Er2PuHf GGA-PBE optimized geometry
data_Er2PuHf
_chemical_formula_sum 'Er6 Pu3 Hf3'
_cell_length_a 3.3161
_cell_length_b 3.3161
_cell_length_c 35.1670
_cell_angle_alpha 90.00
_cell_angle_beta 90.00
_cell_angle_gamma 120.00
_space_group_name_H-M_alt 'R -3 m'
_space_group_IT_number 166
_space_group_name_Hall '-R 3 2"'
loop_
_atom_site_label
_atom_site_fract_x
_atom_site_fract_y
_atom_site_fract_z
_atom_site_occupancy
Er1 0.0000 0.0000 0.0926 1
Pu1 0.0000 0.0000 0.0000 1
Hf1 0.0000 0.0000 0.5000 1
# Formation energy   0.280 eV per atom
# DOS at the Fermi energy   12.57 states/eV/f.u.
# Size of the total moment   6.1 μB/f.u.
# Energy above the most stable polymorph in this dataset   0.134 eV per atom

(5)
# ErPuHf2 GGA-PBE optimized geometry
data_ErPuHf2
_chemical_formula_sum 'Er3 Pu3 Hf6'
_cell_length_a 3.2683
_cell_length_b 3.2683
_cell_length_c 31.9688
_cell_angle_alpha 90.00
_cell_angle_beta 90.00
_cell_angle_gamma 120.00
_space_group_name_H-M_alt 'R -3 m'
_space_group_IT_number 166
_space_group_name_Hall '-R 3 2"'
loop_
_atom_site_label
_atom_site_fract_x
_atom_site_fract_y
_atom_site_fract_z
_atom_site_occupancy
Er1 0.0000 0.0000 0.0000 1
Pu1 0.0000 0.0000 0.5000 1
Hf1 0.0000 0.0000 0.2476 1
# Formation energy   0.186 eV per atom
# DOS at the Fermi energy   9.58 states/eV/f.u.
# Size of the total moment   5.3 μB/f.u.
# Energy above the most stable polymorph in this dataset   0.016 eV per atom

(6)
# Er2PuHf GGA-PBE optimized geometry
data_Er2PuHf
_chemical_formula_sum 'Er2 Pu1 Hf1'
_cell_length_a 4.7192
_cell_length_b 4.7192
_cell_length_c 4.8112
_cell_angle_alpha 90.00
_cell_angle_beta 90.00
_cell_angle_gamma 90.00
_space_group_name_H-M_alt 'P 4/m m m'
_space_group_IT_number 123
_space_group_name_Hall '-P 4 2'
loop_
_atom_site_label
_atom_site_fract_x
_atom_site_fract_y
_atom_site_fract_z
_atom_site_occupancy
Er1 0.0000 0.5000 0.0000 1
Pu1 0.0000 0.0000 0.5000 1
Hf1 0.5000 0.5000 0.5000 1
# Formation energy   0.189 eV per atom
# DOS at the Fermi energy   13.60 states/eV/f.u.
# Size of the total moment   5.5 μB/f.u.
# Energy above the most stable polymorph in this dataset   0.044 eV per atom

(7)
# ErPu2HfSb4 GGA-PBE optimized geometry
data_ErPu2HfSb4
_chemical_formula_sum 'Er1 Pu2 Hf1 Sb4'
_cell_length_a 7.4863
_cell_length_b 4.3165
_cell_length_c 7.5027
_cell_angle_alpha 90.00
_cell_angle_beta 109.31
_cell_angle_gamma 90.00
_space_group_name_H-M_alt 'P 1 2/m 1'
_space_group_IT_number 10
_space_group_name_Hall '-P 2y'
loop_
_atom_site_label
_atom_site_fract_x
_atom_site_fract_y
_atom_site_fract_z
_atom_site_occupancy
Er1 0.0000 0.0000 0.0000 1
Pu1 0.5000 0.0000 0.5000 1
Pu2 0.5000 0.5000 0.0000 1
Hf1 0.0000 0.5000 0.5000 1
Sb1 0.2342 0.0000 0.7365 1
Sb2 0.2395 0.5000 0.2552 1
# ΔE_f (raw)   -0.701 eV/atom
# DOS at the Fermi energy   25.17 states/eV/f.u.
# Size of the total moment   10.8 μB/f.u.

(8)
# Rb3Er2HfS6 GGA-PBE optimized geometry
data_Rb3Er2HfS6
_chemical_formula_sum 'Rb6 Er4 Hf2 S12'
_cell_length_a 6.8239
_cell_length_b 11.8193
_cell_length_c 8.0202
_cell_angle_alpha 90.00
_cell_angle_beta 106.50
_cell_angle_gamma 90.00
_space_group_name_H-M_alt 'C 1 2/m 1'
_space_group_IT_number 12
_space_group_name_Hall '-C 2y'
loop_
_atom_site_label
_atom_site_fract_x
_atom_site_fract_y
_atom_site_fract_z
_atom_site_occupancy
Rb1 0.0000 0.0000 0.0000 1
Rb2 0.0000 0.3302 0.0000 1
Er1 0.0000 0.1664 0.5000 1
Hf1 0.0000 0.5000 0.5000 1
S1 0.2225 0.3407 0.6895 1
S2 0.2451 0.0000 0.6906 1
# ΔE_f (raw)   -1.688 eV/atom
# DOS at the Fermi energy   3.79 states/eV/f.u.
# Size of the total moment   0.0 μB/f.u.

(9)
# Rb4Er3HfSe8 GGA-PBE optimized geometry
data_Rb4Er3HfSe8
_chemical_formula_sum 'Rb12 Er9 Hf3 Se24'
_cell_length_a 8.2650
_cell_length_b 8.2650
_cell_length_c 23.9851
_cell_angle_alpha 90.00
_cell_angle_beta 90.00
_cell_angle_gamma 120.00
_space_group_name_H-M_alt 'R -3 m'
_space_group_IT_number 166
_space_group_name_Hall '-R 3 2"'
loop_
_atom_site_label
_atom_site_fract_x
_atom_site_fract_y
_atom_site_fract_z
_atom_site_occupancy
Rb1 0.0000 0.0000 0.0000 1
Rb2 0.0000 0.5000 0.0000 1
Er1 0.0000 0.5000 0.5000 1
Hf1 0.0000 0.0000 0.5000 1
Se1 0.0000 0.0000 0.2323 1
Se2 0.0131 0.5065 0.2308 1
# ΔE_f (raw)   -1.592 eV/atom
# DOS at the Fermi energy   4.43 states/eV/f.u.
# Size of the total moment   0.0 μB/f.u.

(10)
# Rb2Er2HfTe6 GGA-PBE optimized geometry
data_Rb2Er2HfTe6
_chemical_formula_sum 'Rb4 Er4 Hf2 Te12'
_cell_length_a 7.5041
_cell_length_b 12.9430
_cell_length_c 9.1639
_cell_angle_alpha 90.00
_cell_angle_beta 106.53
_cell_angle_gamma 90.00
_space_group_name_H-M_alt 'C 1 2/m 1'
_space_group_IT_number 12
_space_group_name_Hall '-C 2y'
loop_
_atom_site_label
_atom_site_fract_x
_atom_site_fract_y
_atom_site_fract_z
_atom_site_occupancy
Rb1 0.0000 0.1707 0.0000 1
Er1 0.0000 0.3320 0.5000 1
Hf1 0.0000 0.0000 0.5000 1
Te1 0.2286 0.1581 0.6946 1
Te2 0.2471 0.5000 0.6924 1
# ΔE_f (raw)   -1.217 eV/atom
# Size of the total moment   0.0 μB/f.u.

(11)
# Rb2ErHf2Te6 GGA-PBE optimized geometry
data_Rb2ErHf2Te6
_chemical_formula_sum 'Rb4 Er2 Hf4 Te12'
_cell_length_a 7.2528
_cell_length_b 12.6100
_cell_length_c 9.1708
_cell_angle_alpha 90.00
_cell_angle_beta 104.78
_cell_angle_gamma 90.00
_space_group_name_H-M_alt 'C 1 2/m 1'
_space_group_IT_number 12
_space_group_name_Hall '-C 2y'
loop_
_atom_site_label
_atom_site_fract_x
_atom_site_fract_y
_atom_site_fract_z
_atom_site_occupancy
Rb1 0.0000 0.1618 0.0000 1
Er1 0.0000 0.0000 0.5000 1
Hf1 0.0000 0.3322 0.5000 1
Te1 0.2118 0.5000 0.6932 1
Te2 0.2367 0.1721 0.6938 1
# ΔE_f (raw)   -1.051 eV/atom
# DOS at the Fermi energy   4.89 states/eV/f.u.
# Size of the total moment   0.0 μB/f.u.

(12)
# ErHfZnRe GGA-PBE optimized geometry
data_ErHfZnRe
_chemical_formula_sum 'Er4 Hf4 Zn4 Re4'
_cell_length_a 6.7431
_cell_length_b 6.7431
_cell_length_c 6.7431
_cell_angle_alpha 90.00
_cell_angle_beta 90.00
_cell_angle_gamma 90.00
_space_group_name_H-M_alt 'F -4 3 m'
_space_group_IT_number 216
_space_group_name_Hall 'F -4 2 3'
loop_
_atom_site_label
_atom_site_fract_x
_atom_site_fract_y
_atom_site_fract_z
_atom_site_occupancy
Er1 0.0000 0.0000 0.0000 1
Hf1 0.0000 0.0000 0.5000 1
Zn1 0.2500 0.2500 0.2500 1
Re1 0.2500 0.2500 0.7500 1
# Formation energy   -0.143 eV per atom
# DOS at the Fermi energy   4.08 states/eV/f.u.
# Size of the total moment   0.0 μB/f.u.

Q: What is the size of the total moment in the ninth record?
A: 0.0 μB/f.u.

Copy entry 6 word for word.
# Er2PuHf GGA-PBE optimized geometry
data_Er2PuHf
_chemical_formula_sum 'Er2 Pu1 Hf1'
_cell_length_a 4.7192
_cell_length_b 4.7192
_cell_length_c 4.8112
_cell_angle_alpha 90.00
_cell_angle_beta 90.00
_cell_angle_gamma 90.00
_space_group_name_H-M_alt 'P 4/m m m'
_space_group_IT_number 123
_space_group_name_Hall '-P 4 2'
loop_
_atom_site_label
_atom_site_fract_x
_atom_site_fract_y
_atom_site_fract_z
_atom_site_occupancy
Er1 0.0000 0.5000 0.0000 1
Pu1 0.0000 0.0000 0.5000 1
Hf1 0.5000 0.5000 0.5000 1
# Formation energy   0.189 eV per atom
# DOS at the Fermi energy   13.60 states/eV/f.u.
# Size of the total moment   5.5 μB/f.u.
# Energy above the most stable polymorph in this dataset   0.044 eV per atom